Compound: AlZnFeIr
Source: the Open Quantum Materials Database
Functional: GGA-PBE
Structure: relaxed

Lattice parameters (Å, degrees): 4.2472 4.2472 4.2472 60.00 60.00 60.00
With the nearest neighbours (Å) after each atom.
Atoms (fractional coordinates):
Al (0.0000, 0.0000, 0.0000)  4 Zn 2.60, 4 Fe 2.60
Zn (0.7500, 0.7500, 0.7500)  4 Al 2.60, 4 Ir 2.60
Fe (0.2500, 0.2500, 0.2500)  4 Ir 2.60, 4 Al 2.60
Ir (0.5000, 0.5000, 0.5000)  4 Zn 2.60, 4 Fe 2.60

Excess energy over the best structure of this formula in the dataset ... 0.49 eV per formula unit

=====

Compound: AlZnFeIr
Source: the Open Quantum Materials Database
Functional: GGA-PBE
Structure: relaxed

Lattice parameters (Å, degrees): 4.2025 4.2025 4.2025 60.00 60.00 60.00
With the nearest neighbours (Å) after each atom.
Atoms (fractional coordinates):
Al (0.0000, 0.0000, 0.0000)  4 Fe 2.57, 4 Ir 2.57
Zn (0.5000, 0.5000, 0.5000)  4 Fe 2.57, 4 Ir 2.57
Fe (0.2500, 0.2500, 0.2500)  4 Zn 2.57, 4 Al 2.57
Ir (0.7500, 0.7500, 0.7500)  4 Zn 2.57, 4 Al 2.57

Excess energy over the best structure of this formula in the dataset ... 0.00 eV per formula unit

=====

Compound: Zr3AlZn2FeIr2
Source: the Open Quantum Materials Database
Functional: GGA-PBE
Structure: relaxed

Lattice parameters (Å, degrees): 3.4740 7.1278 7.1278 120.23 90.00 90.00
With the nearest neighbours (Å) after each atom.
Atoms (fractional coordinates):
Zr (0.0000, 0.0000, 0.0000)  4 Ir 2.78, 1 Fe 2.86, 4 Zn 3.01, 2 Al 3.06
Zr (0.0000, 0.3922, 0.7886)  4 Ir 2.78-2.82, 1 Fe 2.79, 4 Zn 3.01-3.04, 2 Al 3.03
Zr (0.0000, 0.7886, 0.3922)  4 Ir 2.78-2.82, 1 Fe 2.79, 4 Zn 3.01-3.04, 2 Al 3.03
Al (0.5000, 0.6459, 0.6459)  2 Fe 2.45, 2 Ir 2.66
Zn (0.5000, 0.1392, 0.3939)  2 Fe 2.54, 2 Ir 2.72
Zn (0.5000, 0.3939, 0.1392)  2 Fe 2.54, 2 Ir 2.72
Fe (0.0000, 0.4030, 0.4030)  2 Al 2.45, 4 Zn 2.54
Ir (0.5000, 0.0530, 0.7255)  1 Al 2.66, 2 Zn 2.72, 6 Zr 2.78-2.82
Ir (0.5000, 0.7255, 0.0530)  1 Al 2.66, 2 Zn 2.72, 6 Zr 2.78-2.82

E_tot ... -6.9838 eV per atom

=====

Compound: Zr3Al2ZnFeIr2
Source: the Open Quantum Materials Database
Functional: GGA-PBE
Structure: relaxed

Lattice parameters (Å, degrees): 3.5105 7.0761 7.0761 119.66 90.00 90.00
With the nearest neighbours (Å) after each atom.
Atoms (fractional coordinates):
Zr (0.0000, 0.0000, 0.0000)  4 Ir 2.79, 1 Fe 2.83, 2 Zn 3.02, 4 Al 3.04
Zr (0.0000, 0.1982, 0.5943)  4 Ir 2.76-2.81, 1 Fe 2.83, 2 Zn 3.01, 4 Al 3.05-3.06
Zr (0.0000, 0.5943, 0.1982)  4 Ir 2.76-2.81, 1 Fe 2.83, 2 Zn 3.01, 4 Al 3.05-3.06
Al (0.5000, 0.5992, 0.8472)  2 Fe 2.48, 2 Ir 2.68-2.69
Al (0.5000, 0.8472, 0.5992)  2 Fe 2.48, 2 Ir 2.68-2.69
Zn (0.5000, 0.3450, 0.3450)  2 Fe 2.53, 2 Ir 2.75
Fe (0.0000, 0.6018, 0.6018)  4 Al 2.48, 2 Zn 2.53
Ir (0.5000, 0.2610, 0.9219)  2 Al 2.68-2.69, 1 Zn 2.75, 6 Zr 2.76-2.81
Ir (0.5000, 0.9219, 0.2610)  2 Al 2.68-2.69, 1 Zn 2.75, 6 Zr 2.76-2.81

E_tot ... -7.3485 eV per atom

=====

Compound: LaAl8Fe2
Source: the Open Quantum Materials Database
Functional: GGA-PBE
Structure: relaxed

Lattice parameters (Å, degrees): 12.5301 14.4525 4.0363 90.00 90.00 90.00
With the nearest neighbours (Å) after each atom.
Atoms (fractional coordinates):
La (0.1602, 0.1816, 0.0000)  13 Al 3.17-3.35
La (0.3398, 0.6816, 0.0000)  13 Al 3.17-3.35
La (0.6602, 0.3184, 0.0000)  13 Al 3.17-3.35
La (0.8398, 0.8184, 0.0000)  13 Al 3.17-3.35
Al (0.0000, 0.0000, 0.0000)  2 Fe 2.35
Al (0.0000, 0.5000, 0.5000)  4 Fe 2.45, 4 Al 2.62-2.64
Al (0.0266, 0.8682, 0.5000)  2 Fe 2.58, 6 Al 2.66-2.81
Al (0.0476, 0.3218, 0.5000)  2 Fe 2.59, 5 Al 2.64-2.86
Al (0.0934, 0.7461, 0.0000)  2 Fe 2.35
Al (0.1575, 0.6196, 0.5000)  2 Fe 2.57, 5 Al 2.62-2.84
Al (0.1633, 0.4541, 0.0000)  3 Fe 2.47-2.56
Al (0.1677, 0.0064, 0.5000)  2 Fe 2.53, 3 Al 2.67-2.73
Al (0.2341, 0.8288, 0.5000)  2 Fe 2.51, 3 Al 2.66-2.74
Al (0.2659, 0.3288, 0.5000)  2 Fe 2.51, 3 Al 2.66-2.74
Al (0.3323, 0.5064, 0.5000)  2 Fe 2.53, 3 Al 2.67-2.73
Al (0.3367, 0.9541, 0.0000)  3 Fe 2.47-2.56
Al (0.3425, 0.1196, 0.5000)  2 Fe 2.57, 5 Al 2.62-2.84
Al (0.4066, 0.2461, 0.0000)  2 Fe 2.35
Al (0.4524, 0.8218, 0.5000)  2 Fe 2.59, 5 Al 2.64-2.86
Al (0.4734, 0.3682, 0.5000)  2 Fe 2.58, 6 Al 2.66-2.81
Al (0.5000, 0.0000, 0.5000)  4 Fe 2.45, 4 Al 2.62-2.64
Al (0.5000, 0.5000, 0.0000)  2 Fe 2.35
Al (0.5266, 0.6318, 0.5000)  2 Fe 2.58, 6 Al 2.66-2.81
Al (0.5476, 0.1782, 0.5000)  2 Fe 2.59, 5 Al 2.64-2.86
Al (0.5934, 0.7539, 0.0000)  2 Fe 2.35
Al (0.6575, 0.8804, 0.5000)  2 Fe 2.57, 5 Al 2.62-2.84
Al (0.6633, 0.0459, 0.0000)  3 Fe 2.47-2.56
Al (0.6677, 0.4936, 0.5000)  2 Fe 2.53, 3 Al 2.67-2.73
Al (0.7341, 0.6712, 0.5000)  2 Fe 2.51, 3 Al 2.66-2.74
Al (0.7659, 0.1712, 0.5000)  2 Fe 2.51, 3 Al 2.66-2.74
Al (0.8323, 0.9936, 0.5000)  2 Fe 2.53, 3 Al 2.67-2.73
Al (0.8367, 0.5459, 0.0000)  3 Fe 2.47-2.56
Al (0.8425, 0.3804, 0.5000)  2 Fe 2.57, 5 Al 2.62-2.84
Al (0.9066, 0.2539, 0.0000)  2 Fe 2.35
Al (0.9524, 0.6782, 0.5000)  2 Fe 2.59, 5 Al 2.64-2.86
Al (0.9734, 0.1318, 0.5000)  2 Fe 2.58, 6 Al 2.66-2.81
Fe (0.0344, 0.5916, 0.0000)  9 Al 2.35-2.59
Fe (0.1490, 0.9017, 0.0000)  9 Al 2.35-2.58
Fe (0.3510, 0.4017, 0.0000)  9 Al 2.35-2.58
Fe (0.4656, 0.0916, 0.0000)  9 Al 2.35-2.59
Fe (0.5344, 0.9084, 0.0000)  9 Al 2.35-2.59
Fe (0.6490, 0.5983, 0.0000)  9 Al 2.35-2.58
Fe (0.8510, 0.0983, 0.0000)  9 Al 2.35-2.58
Fe (0.9656, 0.4084, 0.0000)  9 Al 2.35-2.59

E_tot ... -5.0997 eV per atom

=====

Compound: LaNdAl2Fe4
Source: the Open Quantum Materials Database
Functional: GGA-PBE
Structure: relaxed

Lattice parameters (Å, degrees): 4.2476 4.2476 9.7866 90.00 90.00 120.00
With the nearest neighbours (Å) after each atom.
Atoms (fractional coordinates):
La (0.0000, 0.0000, 0.0000)  2 Fe 2.60
Nd (0.6667, 0.3333, 0.5000)  2 Fe 2.82
Al (0.3333, 0.6667, 0.2608)  6 Fe 2.45-2.50
Al (0.3333, 0.6667, 0.7392)  6 Fe 2.45-2.50
Fe (0.0000, 0.0000, 0.2654)  3 Al 2.45, 3 Fe 2.51, 1 La 2.60
Fe (0.0000, 0.0000, 0.7346)  3 Al 2.45, 3 Fe 2.51, 1 La 2.60
Fe (0.6667, 0.3333, 0.2121)  3 Al 2.50, 3 Fe 2.51
Fe (0.6667, 0.3333, 0.7879)  3 Al 2.50, 3 Fe 2.51

E_tot ... -6.4305 eV per atom

=====

Compound: LaPrAl4Fe2
Source: the Open Quantum Materials Database
Functional: GGA-PBE
Structure: relaxed

Lattice parameters (Å, degrees): 7.1376 5.4859 5.4859 44.93 90.00 90.00
With the nearest neighbours (Å) after each atom.
Atoms (fractional coordinates):
La (0.0000, 0.0000, 0.0000)  1 Fe 2.44
Pr (0.5000, 0.9017, 0.9017)  1 Fe 2.66
Al (0.1946, 0.2843, 0.2843)  3 Fe 2.50-2.53, 3 Al 2.77-2.78
Al (0.3057, 0.6235, 0.6235)  3 Fe 2.55-2.58, 3 Al 2.77
Al (0.6943, 0.6235, 0.6235)  3 Fe 2.55-2.58, 3 Al 2.77
Al (0.8054, 0.2843, 0.2843)  3 Fe 2.50-2.53, 3 Al 2.77-2.78
Fe (0.0000, 0.7597, 0.7597)  1 La 2.44, 6 Al 2.53-2.58
Fe (0.5000, 0.1638, 0.1638)  6 Al 2.50-2.55, 1 Pr 2.66

E_tot ... -5.4747 eV per atom

=====

Compound: La3AlFeS7
Source: the Open Quantum Materials Database
Functional: GGA-PBE
Structure: relaxed

Lattice parameters (Å, degrees): 10.1847 5.9801 10.2312 90.00 119.67 90.00
With the nearest neighbours (Å) after each atom.
Atoms (fractional coordinates):
La (0.1279, 0.0000, 0.3618)  7 S 2.88-3.04
La (0.2640, 0.4988, 0.1234)  7 S 2.87-3.03
La (0.3633, 0.4996, 0.7340)  7 S 2.88-3.03
La (0.6367, 0.9996, 0.2660)  7 S 2.88-3.03
La (0.7360, 0.9988, 0.8766)  7 S 2.87-3.03
La (0.8721, 0.5000, 0.6382)  7 S 2.88-3.04
Al (0.1675, 0.9186, 0.8326)  4 S 2.22-2.26
Al (0.8325, 0.4186, 0.1674)  4 S 2.22-2.26
Fe (0.5003, 0.2803, 0.4998)  6 S 2.50-2.61
Fe (0.4997, 0.7803, 0.5002)  6 S 2.50-2.61
S (0.0175, 0.7736, 0.9158)  1 Al 2.26
S (0.0842, 0.7731, 0.6010)  1 Al 2.26
S (0.1660, 0.2892, 0.8314)  1 Al 2.22
S (0.2707, 0.5398, 0.4126)  2 Fe 2.50-2.57
S (0.3543, 0.0397, 0.2670)  2 Fe 2.54-2.61
S (0.3999, 0.7736, 0.9811)  1 Al 2.26
S (0.4149, 0.0395, 0.6436)  2 Fe 2.50-2.56
S (0.5851, 0.5395, 0.3564)  2 Fe 2.50-2.56
S (0.6001, 0.2736, 0.0189)  1 Al 2.26
S (0.6457, 0.5397, 0.7330)  2 Fe 2.54-2.61
S (0.7293, 0.0398, 0.5874)  2 Fe 2.50-2.57
S (0.8340, 0.7892, 0.1686)  1 Al 2.22
S (0.9158, 0.2731, 0.3990)  1 Al 2.26
S (0.9825, 0.2736, 0.0842)  1 Al 2.26

E_tot ... -6.3109 eV per atom

=====

Compound: LiAlFe2
Source: the Open Quantum Materials Database
Functional: GGA-PBE
Structure: relaxed

Lattice parameters (Å, degrees): 5.7241 5.7241 5.7241 90.00 90.00 90.00
With the nearest neighbours (Å) after each atom.
Atoms (fractional coordinates):
Li (0.0000, 0.0000, 0.0000)  8 Fe 2.39
Li (0.0000, 0.0000, 0.5000)  8 Fe 2.45
Li (0.0000, 0.5000, 0.0000)  8 Fe 2.45
Li (0.5000, 0.0000, 0.0000)  8 Fe 2.45
Al (0.0000, 0.5000, 0.5000)  8 Fe 2.51
Al (0.5000, 0.0000, 0.5000)  8 Fe 2.51
Al (0.5000, 0.5000, 0.0000)  8 Fe 2.51
Al (0.5000, 0.5000, 0.5000)  8 Fe 2.56, 6 Al 2.86
Fe (0.2413, 0.2413, 0.2413)  4 Li 2.39-2.45, 4 Al 2.51-2.56
Fe (0.2413, 0.2413, 0.7587)  4 Li 2.39-2.45, 4 Al 2.51-2.56
Fe (0.2413, 0.7587, 0.2413)  4 Li 2.39-2.45, 4 Al 2.51-2.56
Fe (0.2413, 0.7587, 0.7587)  4 Li 2.39-2.45, 4 Al 2.51-2.56
Fe (0.7587, 0.2413, 0.2413)  4 Li 2.39-2.45, 4 Al 2.51-2.56
Fe (0.7587, 0.2413, 0.7587)  4 Li 2.39-2.45, 4 Al 2.51-2.56
Fe (0.7587, 0.7587, 0.2413)  4 Li 2.39-2.45, 4 Al 2.51-2.56
Fe (0.7587, 0.7587, 0.7587)  4 Li 2.39-2.45, 4 Al 2.51-2.56

E_tot ... -5.4559 eV per atom

=====

Compound: LiLuAlFe
Source: the Open Quantum Materials Database
Functional: GGA-PBE
Structure: relaxed

Lattice parameters (Å, degrees): 4.5799 4.5799 4.5799 60.00 60.00 60.00
With the nearest neighbours (Å) after each atom.
Atoms (fractional coordinates):
Li (0.0000, 0.0000, 0.0000)  4 Fe 2.80, 4 Lu 2.80
Lu (0.2500, 0.2500, 0.2500)  4 Al 2.80, 4 Li 2.80
Al (0.5000, 0.5000, 0.5000)  4 Fe 2.80, 4 Lu 2.80
Fe (0.7500, 0.7500, 0.7500)  4 Al 2.80, 4 Li 2.80

Excess energy over the best structure of this formula in the dataset ... 0.42 eV per formula unit

=====

Compound: LiLuAlFe
Source: the Open Quantum Materials Database
Functional: GGA-PBE
Structure: relaxed

Lattice parameters (Å, degrees): 4.4577 4.4577 4.4577 60.00 60.00 60.00
With the nearest neighbours (Å) after each atom.
Atoms (fractional coordinates):
Li (0.0000, 0.0000, 0.0000)  4 Lu 2.73, 4 Al 2.73
Lu (0.7500, 0.7500, 0.7500)  4 Li 2.73, 4 Fe 2.73
Al (0.2500, 0.2500, 0.2500)  4 Fe 2.73, 4 Li 2.73
Fe (0.5000, 0.5000, 0.5000)  4 Lu 2.73, 4 Al 2.73

Excess energy over the best structure of this formula in the dataset ... 0.00 eV per formula unit

=====

Compound: LiAlFe2Pd4
Source: the Open Quantum Materials Database
Functional: GGA-PBE
Structure: relaxed

Lattice parameters (Å, degrees): 4.3013 4.3013 6.0683 90.00 90.00 90.00
With the nearest neighbours (Å) after each atom.
Atoms (fractional coordinates):
Li (0.0000, 0.0000, 0.0000)  8 Pd 2.63
Al (0.5000, 0.5000, 0.5000)  8 Pd 2.63
Fe (0.0000, 0.0000, 0.5000)  8 Pd 2.63
Fe (0.5000, 0.5000, 0.0000)  8 Pd 2.63
Pd (0.0000, 0.5000, 0.2497)  4 Fe 2.63, 2 Li 2.63, 2 Al 2.63
Pd (0.0000, 0.5000, 0.7503)  4 Fe 2.63, 2 Li 2.63, 2 Al 2.63
Pd (0.5000, 0.0000, 0.2497)  4 Fe 2.63, 2 Li 2.63, 2 Al 2.63
Pd (0.5000, 0.0000, 0.7503)  4 Fe 2.63, 2 Li 2.63, 2 Al 2.63

E_tot ... -5.7300 eV per atom